(1)
Here is an optimized crystal structure of Zr2MnPtC from Alexandria via LeMat-Bulk. Energies are from PBE.

Calculated values
- ΔE_f: -0.594 eV/atom
- DOS(E_F): 4.56 states/eV/f.u.
- Magnetic moment: 0.0 μB/cell
- Space group: No. 123
- Calculated total energy: -0.6541 Ry/atom

```
Zr2MnPtC
1.0
-3.700 -2.608 0.724
2.706 -3.595 0.876
0.056 0.918 3.598
Zr Mn C Pt
2 1 1 1
Cartesian
1.353 -1.798 0.438 Zr
-1.850 -1.304 0.362 Zr
0.028 0.459 1.799 Mn
0.000 0.000 0.000 C
-0.469 -2.643 2.599 Pt
```

(2)
Here is an optimized crystal structure of Pu2Mn6C from Alexandria via LeMat-Bulk. Energies are from PBE.

Calculated values
- ΔE_f: 0.027 eV/atom
- DOS(E_F): 9.51 states/eV/f.u.
- Magnetic moment: 5.3 μB/cell
- Space group: No. 164
- Calculated total energy: -0.7567 Ry/atom

```
Pu2Mn6C
1.0
-3.513 2.161 2.081
0.386 -3.518 4.306
3.310 1.228 4.314
Mn C Pu
6 1 2
Cartesian
2.196 -1.365 7.730 Mn
0.520 -1.987 5.545 Mn
-2.014 1.236 2.971 Mn
-1.819 -0.546 5.152 Mn
2.001 0.417 5.548 Mn
-0.337 1.858 5.156 Mn
0.000 0.000 0.000 C
0.339 -0.214 3.402 Pu
-0.157 0.085 7.299 Pu
```

(3)
Here is an optimized crystal structure of Pu3Mn2C4 from Alexandria via LeMat-Bulk. Energies are from PBE.

Calculated values
- ΔE_f: 0.212 eV/atom
- DOS(E_F): 12.21 states/eV/f.u.
- Magnetic moment: 2.4 μB/cell
- Space group: No. 12
- Calculated total energy: -0.7866 Ry/atom

```
Pu3Mn2C4
1.0
-2.671 1.814 -0.359
-1.116 -4.899 -1.762
-0.884 0.042 6.796
Mn Pu C
2 3 4
Cartesian
-1.661 -2.446 -0.004 Mn
-3.010 -0.597 4.679 Mn
0.000 0.000 0.000 Pu
-2.507 -0.360 2.131 Pu
-2.164 -2.683 2.544 Pu
-3.989 -2.842 0.611 C
-0.682 -0.201 4.064 C
-2.342 -2.489 4.846 C
-2.329 -0.554 -0.170 C
```

(4)
Here is an optimized crystal structure of Pu2MnC4 from Alexandria via LeMat-Bulk. Energies are from PBE.

Calculated values
- ΔE_f: -0.060 eV/atom
- DOS(E_F): 13.90 states/eV/f.u.
- Magnetic moment: 17.6 μB/cell
- Space group: No. 72
- Calculated total energy: -0.7891 Ry/atom

```
Pu2MnC4
1.0
4.685 0.000 1.861
1.745 5.885 2.435
0.090 -0.178 6.600
C Mn Pu
8 2 4
Cartesian
2.660 2.616 6.959 C
2.490 1.301 7.387 C
0.596 0.404 5.328 C
3.860 3.091 3.937 C
4.030 4.406 3.509 C
5.924 5.303 5.568 C
5.510 4.477 6.611 C
1.010 1.229 4.285 C
1.171 0.000 0.465 Mn
3.514 0.000 1.396 Mn
4.919 2.735 8.099 Pu
3.101 4.658 5.847 Pu
3.418 1.049 5.049 Pu
1.601 2.972 2.797 Pu
```

(5)
Here is an optimized crystal structure of PuMn3C from Alexandria via LeMat-Bulk. Energies are from PBE.

Calculated values
- ΔE_f: 0.227 eV/atom
- DOS(E_F): 10.78 states/eV/f.u.
- Magnetic moment: 8.3 μB/cell
- Space group: No. 63
- Calculated total energy: -0.7339 Ry/atom

```
PuMn3C
1.0
-2.674 2.615 -0.333
0.222 -0.383 -4.787
-3.838 -6.575 0.349
Mn Pu C
6 2 2
Cartesian
-2.911 -3.284 -2.416 Mn
-2.812 -3.455 -4.551 Mn
-3.379 -1.059 -2.355 Mn
-1.258 -1.738 -3.540 Mn
-3.478 -0.888 -0.220 Mn
-5.032 -2.606 -1.231 Mn
-0.633 -0.797 -1.172 Pu
-5.657 -3.546 -3.599 Pu
-2.215 -0.042 -3.720 C
-4.076 -4.301 -1.051 C
```

(6)
Here is an optimized crystal structure of Pu2Mn6C3 from Alexandria via LeMat-Bulk. Energies are from PBE.

Calculated values
- ΔE_f: 0.122 eV/atom
- DOS(E_F): 15.93 states/eV/f.u.
- Magnetic moment: 1.9 μB/cell
- Space group: No. 189
- Calculated total energy: -0.7351 Ry/atom

```
Pu2Mn6C3
1.0
-0.888 -1.728 3.116
4.007 -4.737 -1.484
2.082 5.003 3.367
C Mn Pu
3 6 2
Cartesian
0.866 2.285 3.677 C
2.078 -3.845 0.624 C
1.813 -0.765 2.256 C
3.928 -0.673 2.910 Mn
0.143 0.547 2.508 Mn
3.168 -3.744 -1.173 Mn
1.276 0.056 0.395 Mn
0.686 -2.200 1.139 Mn
1.646 3.954 2.662 Mn
2.724 1.756 1.750 Pu
3.366 -1.490 0.133 Pu
```

| no. | ρ (g/cm³) |
| --- | --- |
| 1 | 9.457 |
| 2 | 11.082 |
| 3 | 13.825 |
| 4 | 10.759 |
| 5 | 10.481 |
| 6 | 10.951 |